! PPbBrCl2 (PBE, optimized geometry); values from VASP
! ΔE to the lowest computed polymorph (meV/atom): 0
! DOS at the Fermi energy (states/eV per atom): 0.67
! Symmetry: P4/mmm
! Final energy (eV for the cell shown): -13.6
! Magnetic moment (μB/f.u.): 1.03
! Theoretical density (g cm⁻³): 3.95
&SYSTEM
  ibrav = 0, nat = 5, ntyp = 4
/
ATOMIC_SPECIES
Br 79.90 Br.upf
Cl 35.45 Cl.upf
Pb 207.20 Pb.upf
P 30.97 P.upf
ATOMIC_POSITIONS angstrom
Br -1.425 1.264 4.349
Cl 1.376 -0.496 2.199
Pb 0.000 0.000 0.000
Cl -2.185 -0.929 1.158
P -0.617 2.689 0.992
CELL_PARAMETERS angstrom
-4.369 -1.858 2.316
2.753 -0.991 4.398
-1.235 5.378 1.985